## ScBe2Cu2 (PBE)

Data for an optimized crystal structure of ScBe2Cu2.

Values from the calculation:
- Formation energy from the elements: -0.047 eV per atom
- Relative energy among the computed polymorphs: 19 meV per atom

abc: 6.8781 6.8781 2.5832
angles: 90.00 90.00 90.00
Last column: nearest neighbours and their distance in Å.
Fractional coordinates of all 10 atoms:
Sc (0.0000, 0.0000, 0.0000)  2 Sc 2.58, 4 Be 2.75, 8 Cu 2.86
Sc (0.5000, 0.5000, 0.0000)  2 Sc 2.58, 4 Be 2.75, 8 Cu 2.86
Be (0.1172, 0.3828, 0.0000)  1 Be 2.28, 6 Cu 2.40-2.42
Be (0.3828, 0.8828, 0.0000)  1 Be 2.28, 6 Cu 2.40-2.42
Be (0.6172, 0.1172, 0.0000)  1 Be 2.28, 6 Cu 2.40-2.42
Be (0.8828, 0.6172, 0.0000)  1 Be 2.28, 6 Cu 2.40-2.42
Cu (0.1724, 0.6724, 0.5000)  6 Be 2.40-2.42, 2 Cu 2.58
Cu (0.3276, 0.1724, 0.5000)  6 Be 2.40-2.42, 2 Cu 2.58
Cu (0.6724, 0.8276, 0.5000)  6 Be 2.40-2.42, 2 Cu 2.58
Cu (0.8276, 0.3276, 0.5000)  6 Be 2.40-2.42, 2 Cu 2.58